Record 1
CoCuRu3 | PBE-GGA | optimized geometry

The calculated density is 8153 kg/m3. The calculation puts the formation energy at 1.542 eV/atom. The value obtained for the relative energy among the computed polymorphs is 0.0 kJ/mol of atoms. As for the calculated total energy: -6.26 eV per atom. Its crystal system is cubic.

Structure (CIF):
```
data_CoCuRu3
_chemical_formula_sum 'Co1 Cu1 Ru3'
_cell_length_a 4.4259
_cell_length_b 4.4259
_cell_length_c 4.4259
_cell_angle_alpha 90.00
_cell_angle_beta 90.00
_cell_angle_gamma 90.00
_symmetry_space_group_name_H-M 'P m -3 m'
_symmetry_Int_Tables_number 221
_symmetry_space_group_name_Hall '-P 4 2 3'
loop_
_atom_site_label
_atom_site_type_symbol
_atom_site_fract_x
_atom_site_fract_y
_atom_site_fract_z
_atom_site_occupancy
Co1 Co 0.0000 0.0000 0.0000 1
Cu1 Cu 0.5000 0.5000 0.5000 1
Ru1 Ru 0.0000 0.0000 0.5000 1
```

---

Record 2
CoCuRu2 | PBE-GGA | optimized geometry

The calculated density is 10537 kg/m3. The calculation puts the formation energy at 0.383 eV/atom. The value obtained for the relative energy among the computed polymorphs is 17.3 kJ/mol of atoms. As for the calculated total energy: -7.06 eV per atom. Its crystal system is tetragonal.

Structure (CIF):
```
data_CoCuRu2
_chemical_formula_sum 'Co1 Cu1 Ru2'
_cell_length_a 4.2805
_cell_length_b 4.2805
_cell_length_c 2.7919
_cell_angle_alpha 90.00
_cell_angle_beta 90.00
_cell_angle_gamma 90.00
_symmetry_space_group_name_H-M 'P 4/m m m'
_symmetry_Int_Tables_number 123
_symmetry_space_group_name_Hall '-P 4 2'
loop_
_atom_site_label
_atom_site_type_symbol
_atom_site_fract_x
_atom_site_fract_y
_atom_site_fract_z
_atom_site_occupancy
Co1 Co 0.0000 0.0000 0.0000 1
Cu1 Cu 0.5000 0.5000 0.0000 1
Ru1 Ru 0.0000 0.5000 0.5000 1
```